Record 1
A plane-wave DFT calculation with PBE was carried out for MgNbH after structural relaxation.

a = 5.893 Å, b = 5.893 Å, c = 5.382 Å
α = 117.17°, β = 62.83°, γ = 149.73°
Fractional coordinates of all 6 atoms:
H  0.685  0.576  0.448
H  0.356  0.905  0.776
Mg  0.020  0.240  0.783
Mg  0.520  0.740  0.261
Nb  0.771  0.489  0.690
Nb  0.269  0.992  0.192

Calculated values
Space-group type: Imm2, No. 44
Energy relative to the lowest polymorph listed for this composition: 91 meV/atom
Total magnetic moment: 0.000 μB/f.u.

---

Record 2
A plane-wave DFT calculation with PBE was carried out for Na2CdPd6 after structural relaxation.

a = 6.370 Å, b = 6.370 Å, c = 6.370 Å
α = 60.00°, β = 60.00°, γ = 60.00°
Fractional coordinates of all 9 atoms:
Na  0.250  0.250  0.250
Na  0.750  0.750  0.750
Cd  0.000  0.000  0.000
Pd  0.712  0.712  0.288
Pd  0.288  0.712  0.712
Pd  0.288  0.712  0.288
Pd  0.288  0.288  0.712
Pd  0.712  0.288  0.288
Pd  0.712  0.288  0.712

Calculated values
Space-group type: Fm-3m, No. 225
Formation enthalpy at 0 K: 1.090 eV/f.u.
Total magnetic moment: 0.278 μB/f.u.

---

Record 3
A plane-wave DFT calculation with PBE was carried out for RbHg7Au5 after structural relaxation.

a = 5.677 Å, b = 7.871 Å, c = 7.871 Å
α = 80.56°, β = 68.86°, γ = 68.86°
Fractional coordinates of all 13 atoms:
Rb  0.994  0.006  0.006
Hg  0.639  0.361  0.361
Hg  0.338  0.662  0.662
Hg  0.999  0.355  0.647
Hg  0.999  0.647  0.355
Hg  0.273  0.227  0.227
Hg  0.508  0.781  0.202
Hg  0.508  0.202  0.781
Au  0.510  0.985  0.496
Au  0.009  0.985  0.496
Au  0.510  0.496  0.985
Au  0.009  0.496  0.985
Au  0.704  0.796  0.796

Calculated values
Space-group type: Imm2, No. 44
Formation enthalpy at 0 K: -0.350 eV/f.u.
Total magnetic moment: 0.000 μB/f.u.

---

Record 4
A plane-wave DFT calculation with PBE was carried out for La6PmGa after structural relaxation.

a = 6.898 Å, b = 6.905 Å, c = 8.292 Å
α = 66.12°, β = 65.67°, γ = 60.25°
Fractional coordinates of all 8 atoms:
La  0.042  0.435  0.753
La  0.766  0.045  0.752
La  0.562  0.232  0.247
La  0.234  0.955  0.248
La  0.958  0.565  0.247
La  0.438  0.768  0.753
Pm  0.500  0.500  0.500
Ga  0.000  0.000  0.000

Calculated values
Space-group type: P-1, No. 2
Formation enthalpy at 0 K: 1.886 eV/f.u.
Total magnetic moment: 0.000 μB/f.u.

---

What is the formula in the second record? Na2CdPd6